1.
A plane-wave DFT calculation with PBE was carried out for crystalline SrCaZn4 at its relaxed geometry.

a = 5.6907 Å, b = 5.6907 Å, c = 5.6907 Å
α = 60.00°, β = 60.00°, γ = 60.00°
Element x y z (fractional)
Sr  0.0000  0.0000  0.0000
Ca  0.7500  0.7500  0.7500
Zn  0.3756  0.3756  0.3756
Zn  0.3756  0.3756  0.8732
Zn  0.3756  0.8732  0.3756
Zn  0.8732  0.3756  0.3756

Output
Energy above the most stable polymorph in this dataset in meV per atom: 54.1



2.
A plane-wave DFT calculation with PBE was carried out for crystalline ScN3F6 at its relaxed geometry.

a = 5.5202 Å, b = 5.5202 Å, c = 5.5202 Å
α = 60.00°, β = 60.00°, γ = 60.00°
Element x y z (fractional)
Sc  0.0000  0.0000  0.0000
N  0.2500  0.2500  0.2500
N  0.5000  0.5000  0.5000
N  0.7500  0.7500  0.7500
F  0.2649  0.2649  0.7351
F  0.2649  0.7351  0.2649
F  0.2649  0.7351  0.7351
F  0.7351  0.2649  0.2649
F  0.7351  0.2649  0.7351
F  0.7351  0.7351  0.2649

Output
Energy above the most stable polymorph in this dataset in meV per atom: 317.6



3.
A plane-wave DFT calculation with PBE was carried out for crystalline ReSnBr2 at its relaxed geometry.

a = 5.0981 Å, b = 5.0981 Å, c = 5.0981 Å
α = 60.00°, β = 60.00°, γ = 60.00°
Element x y z (fractional)
Re  0.0000  0.0000  0.0000
Sn  0.5000  0.5000  0.5000
Br  0.2500  0.2500  0.2500
Br  0.7500  0.7500  0.7500

Output
Energy above the most stable polymorph in this dataset in meV per atom: 665.2



4.
A plane-wave DFT calculation with PBE was carried out for crystalline Ba4AlPt at its relaxed geometry.

a = 6.9172 Å, b = 6.9172 Å, c = 6.9172 Å
α = 60.00°, β = 60.00°, γ = 60.00°
Element x y z (fractional)
Ba  0.1244  0.1244  0.1244
Ba  0.1244  0.1244  0.6269
Ba  0.1244  0.6269  0.1244
Ba  0.6269  0.1244  0.1244
Al  0.5000  0.5000  0.5000
Pt  0.7500  0.7500  0.7500

Output
Electronic total energy in eV for the cell shown: -13.728



5.
A plane-wave DFT calculation with PBE was carried out for crystalline LaBeNi2 at its relaxed geometry.

a = 3.9554 Å, b = 3.9554 Å, c = 5.3072 Å
α = 106.43°, β = 106.43°, γ = 59.12°
Element x y z (fractional)
La  0.0000  0.0000  0.0000
Be  0.7687  0.7687  0.4348
Ni  0.1407  0.1407  0.5663
Ni  0.4386  0.4386  0.4300

Output
Electronic total energy in eV for the cell shown: -21.225



6.
A plane-wave DFT calculation with PBE was carried out for crystalline Ce5Ge5O at its relaxed geometry.

a = 8.5270 Å, b = 8.5270 Å, c = 8.5270 Å
α = 149.99°, β = 122.19°, γ = 66.50°
Element x y z (fractional)
Ce  0.0000  0.0000  0.0000
Ce  0.0935  0.3599  0.7336
Ce  0.3737  0.6401  0.7336
Ce  0.6263  0.3599  0.2664
Ce  0.9065  0.6401  0.2664
Ge  0.2086  0.2086  0.0000
Ge  0.3432  0.8432  0.5000
Ge  0.5000  0.5000  0.0000
Ge  0.6568  0.1568  0.5000
Ge  0.7914  0.7914  0.0000
O  0.0000  0.5000  0.5000

Output
Electronic total energy in eV for the cell shown: -67.414



- Number 1 is which compound?
  SrCaZn4